No. 1
A relaxed structure of Ba2Cr2Ga, computed with PBE-GGA.

Cell lengths 6.489, 6.489, 7.307 Å; angles 90.00, 90.00, 90.00 degrees
Space group I4/mmm (No. 139)
Unique sites:
Ba 0.000 0.500 0.250 (multiplicity 4)
Cr 0.000 0.000 0.121 (multiplicity 4)
Ga 0.000 0.000 0.500 (multiplicity 2)

Output
Formation energy   0.787 eV per atom
Distance to the lowest polymorph of the same formula   180.5 meV per atom



No. 2
A relaxed structure of BaCr3Ga, computed with PBE-GGA.

Cell lengths 5.206, 5.206, 5.206 Å; angles 90.00, 90.00, 90.00 degrees
Space group Pm-3m (No. 221)
Unique sites:
Ba 0.000 0.000 0.000 (multiplicity 1)
Cr 0.000 0.000 0.500 (multiplicity 3)
Ga 0.500 0.500 0.500 (multiplicity 1)

Output
Formation energy   2.298 eV per atom
Distance to the lowest polymorph of the same formula   720.0 meV per atom



No. 3
A relaxed structure of BaCrGa3, computed with PBE-GGA.

Cell lengths 4.858, 4.858, 4.858 Å; angles 90.00, 90.00, 90.00 degrees
Space group Pm-3m (No. 221)
Unique sites:
Ba 0.000 0.000 0.000 (multiplicity 1)
Cr 0.500 0.500 0.500 (multiplicity 1)
Ga 0.000 0.500 0.500 (multiplicity 3)

Output
Formation energy   -0.235 eV per atom
Distance to the lowest polymorph of the same formula   0.0 meV per atom



No. 4
A relaxed structure of Ba2Cr2Ga, computed with PBE-GGA.

Cell lengths 7.106, 7.106, 5.306 Å; angles 90.00, 90.00, 90.00 degrees
Space group P4/mbm (No. 127)
Unique sites:
Ba 0.200 0.300 0.000 (multiplicity 4)
Cr 0.090 0.590 0.500 (multiplicity 4)
Ga 0.000 0.000 0.500 (multiplicity 2)

Output
Formation energy   0.606 eV per atom
Distance to the lowest polymorph of the same formula   0.0 meV per atom



No. 5
A relaxed structure of BaCrGaGe2, computed with PBE-GGA.

Cell lengths 4.756, 4.756, 4.847 Å; angles 90.00, 90.00, 90.00 degrees
Space group P4/mmm (No. 123)
Unique sites:
Ba 0.000 0.000 0.000 (multiplicity 1)
Cr 0.500 0.500 0.500 (multiplicity 1)
Ga 0.500 0.500 0.000 (multiplicity 1)
Ge 0.000 0.500 0.500 (multiplicity 2)

Output
Formation energy   -0.269 eV per atom



No. 6
A relaxed structure of KBa2CrGa, computed with PBE-GGA.

Cell lengths 6.733, 6.733, 5.321 Å; angles 90.00, 90.00, 90.00 degrees
Space group P4/mmm (No. 123)
Unique sites:
K 0.000 0.000 0.000 (multiplicity 1)
Ba 0.000 0.500 0.000 (multiplicity 2)
Cr 0.000 0.000 0.500 (multiplicity 1)
Ga 0.500 0.500 0.500 (multiplicity 1)

Output
Formation energy   1.090 eV per atom